This record from Alexandria describes crystalline TbThGa2Ni2 at its relaxed geometry. The functional is GGA-PBE.

a = 4.3101 Å, b = 4.3101 Å, c = 7.2774 Å
α = 90.00°, β = 90.00°, γ = 120.00°
Element x y z (fractional)
Th 0.0000 0.0000 0.0000
Ni 0.3333 0.6667 0.7466
Tb 0.0000 0.0000 0.5000
Ga 0.3333 0.6667 0.2643
Ga 0.6667 0.3333 0.7357
Ni 0.6667 0.3333 0.2534

Values from the calculation:
**ΔH_f (0 K)**: -0.578 eV/atom
**Total magnetic moment**: 0.0000 μB/atom
**Density**: 9.187 Mg/m³